Version i
DFT (GGA-PBE) results for an optimized crystal structure of LiMn2Mo2.

a b c (Å): 7.0904 7.0904 2.8255
angles (deg): 90.00 90.00 90.00
Last column: nearest neighbours and their distance in Å.
Sites, in units of the cell vectors:
1 Mn 0.8584 0.6416 0.0000  6 Mo 2.47-2.55, 2 Li 2.73
2 Mn 0.1416 0.3584 0.0000  6 Mo 2.47-2.55, 2 Li 2.73
3 Mn 0.3584 0.8584 0.0000  6 Mo 2.47-2.55, 2 Li 2.73
4 Li 0.5000 0.5000 0.0000  4 Mn 2.73, 2 Li 2.83, 8 Mo 3.03
5 Mo 0.6566 0.8434 0.5000  6 Mn 2.47-2.55
6 Mo 0.1566 0.6566 0.5000  6 Mn 2.47-2.55
7 Mo 0.8434 0.3434 0.5000  6 Mn 2.47-2.55
8 Mn 0.6416 0.1416 0.0000  6 Mo 2.47-2.55, 2 Li 2.73
9 Li 0.0000 0.0000 0.0000  4 Mn 2.73, 2 Li 2.83, 8 Mo 3.03
10 Mo 0.3434 0.1566 0.5000  6 Mn 2.47-2.55

---

Version ii
DFT (GGA-PBE) results for an optimized crystal structure of LiMn2Mo2.

a b c (Å): 7.2121 7.2121 2.7547
angles (deg): 90.00 90.00 90.00
Last column: nearest neighbours and their distance in Å.
Sites, in units of the cell vectors:
1 Mo 0.6504 0.1504 0.0000  6 Mn 2.48-2.55, 2 Li 2.74, 2 Mo 2.75
2 Mo 0.3496 0.8496 0.0000  6 Mn 2.48-2.55, 2 Li 2.74, 2 Mo 2.75
3 Mo 0.1504 0.3496 0.0000  6 Mn 2.48-2.55, 2 Li 2.74, 2 Mo 2.75
4 Mn 0.1473 0.6473 0.5000  6 Mo 2.48-2.55, 2 Mn 2.75
5 Mn 0.3527 0.1473 0.5000  6 Mo 2.48-2.55, 2 Mn 2.75
6 Mo 0.8496 0.6504 0.0000  6 Mn 2.48-2.55, 2 Li 2.74, 2 Mo 2.75
7 Mn 0.8527 0.3527 0.5000  6 Mo 2.48-2.55, 2 Mn 2.75
8 Li 0.5000 0.5000 0.0000  4 Mo 2.74, 2 Li 2.75
9 Mn 0.6473 0.8527 0.5000  6 Mo 2.48-2.55, 2 Mn 2.75
10 Li 0.0000 0.0000 0.0000  4 Mo 2.74, 2 Li 2.75

---

Most stable one: version i, least stable one: version ii.

---

Version i
DFT (GGA-PBE) results for an optimized crystal structure of LiMn3Mo.

a b c (Å): 4.6896 4.6896 4.6896
angles (deg): 90.00 90.00 90.00
Last column: nearest neighbours and their distance in Å.
Sites, in units of the cell vectors:
1 Mo 0.0000 0.0000 0.0000  6 Mn 2.34
2 Li 0.5000 0.5000 0.5000  12 Mn 3.32
3 Mn 0.0000 0.5000 0.0000  2 Mo 2.34
4 Mn 0.0000 0.0000 0.5000  2 Mo 2.34
5 Mn 0.5000 0.0000 0.0000  2 Mo 2.34

---

Version ii
DFT (GGA-PBE) results for an optimized crystal structure of LiMn3Mo.

a b c (Å): 4.0129 4.0129 4.0129
angles (deg): 90.00 90.00 90.00
Last column: nearest neighbours and their distance in Å.
Sites, in units of the cell vectors:
1 Mn 0.0000 0.0000 0.5000  2 Li 2.01
2 Mn 0.0000 0.5000 0.0000  2 Li 2.01
3 Mn 0.5000 0.0000 0.0000  2 Li 2.01
4 Mo 0.5000 0.5000 0.5000  12 Mn 2.84
5 Li 0.0000 0.0000 0.0000  6 Mn 2.01

---

Most stable one: version ii, least stable one: version i.

---

Version i
DFT (GGA-PBE) results for an optimized crystal structure of LiMn2N3.

a b c (Å): 2.8469 5.0301 7.5829
angles (deg): 103.81 90.00 90.00
Last column: nearest neighbours and their distance in Å.
Sites, in units of the cell vectors:
1 Li 0.7500 0.4726 0.1600  6 N 2.16-2.25
2 Mn 0.2500 0.7462 0.4947  6 N 1.95-2.05
3 Mn 0.2500 0.9799 0.1656  6 N 1.93-2.09
4 Mn 0.7500 0.2538 0.5053  6 N 1.95-2.05
5 N 0.2500 0.3493 0.3554  4 Mn 1.95-2.06
6 N 0.7500 0.7957 0.0083  3 Mn 1.93-1.94, 2 Li 2.16
7 N 0.7500 0.6507 0.6446  4 Mn 1.95-2.06
8 N 0.7500 0.8814 0.3417  5 Mn 1.98-2.09, 1 Li 2.18
9 Li 0.2500 0.5274 0.8400  6 N 2.16-2.25
10 N 0.2500 0.1186 0.6583  5 Mn 1.98-2.09, 1 Li 2.18
11 N 0.2500 0.2043 0.9917  3 Mn 1.93-1.94, 2 Li 2.16
12 Mn 0.7500 0.0201 0.8344  6 N 1.93-2.09

---

Version ii
DFT (GGA-PBE) results for an optimized crystal structure of LiMn2N3.

a b c (Å): 5.4476 5.4678 4.9829
angles (deg): 90.00 90.00 120.12
Last column: nearest neighbours and their distance in Å.
Sites, in units of the cell vectors:
1 Li 0.0000 0.3311 0.9765  4 N 2.13-2.20
2 Li 0.0000 0.6689 0.4765  4 N 2.13-2.20
3 N 0.0000 0.2839 0.4151  2 Mn 1.76
4 Mn 0.3383 0.0044 0.9873  4 N 1.76-1.83
5 N 0.6220 0.9560 0.8529  3 Mn 1.82-1.83
6 N 0.3780 0.3340 0.8529  3 Mn 1.82-1.83
7 Mn 0.6617 0.9956 0.4873  4 N 1.76-1.83
8 N 0.0000 0.7161 0.9151  2 Mn 1.76
9 Mn 0.6617 0.6660 0.9873  4 N 1.76-1.83
10 Mn 0.3383 0.3340 0.4873  4 N 1.76-1.83
11 N 0.3780 0.0440 0.3529  3 Mn 1.82-1.83
12 N 0.6220 0.6660 0.3529  3 Mn 1.82-1.83

---

Most stable one: version ii, least stable one: version i.

---

Version i
DFT (GGA-PBE) results for an optimized crystal structure of Li3MnN2.

a b c (Å): 7.2405 7.2405 7.2405
angles (deg): 121.89 121.89 86.76
Last column: nearest neighbours and their distance in Å.
Sites, in units of the cell vectors:
1 Li 0.4884 0.9884 0.9769  2 N 2.00
2 Li 0.7384 0.7384 0.4769  2 N 2.00
3 Li 0.8658 0.8658 0.0000  2 N 2.10
4 Li 0.0116 0.9884 0.5000  2 N 2.00
5 Mn 0.3595 0.8595 0.5000  2 N 1.68
6 N 0.6768 0.8931 0.2163  1 Mn 1.68
7 N 0.5395 0.3232 0.2163  1 Mn 1.68
8 Li 0.4884 0.5116 0.5000  2 N 2.00
9 Li 0.2616 0.7384 0.0000  2 N 2.00
10 Li 0.6158 0.1158 0.5000  2 N 2.10
11 Li 0.7384 0.2616 0.0000  2 N 2.00
12 Li 0.0116 0.5116 0.0231  2 N 2.00
13 Li 0.8842 0.3842 0.5000  2 N 2.10
14 Mn 0.6095 0.6095 0.0000  2 N 1.68
15 Li 0.2616 0.2616 0.5231  2 N 2.00
16 N 0.6768 0.4605 0.7837  1 Mn 1.68
17 Li 0.1342 0.1342 0.0000  2 N 2.10
18 Mn 0.3905 0.3905 0.0000  2 N 1.68
19 N 0.0732 0.7895 0.7163  1 Mn 1.68
20 N 0.6431 0.9268 0.7163  1 Mn 1.68
21 N 0.1069 0.3232 0.7837  1 Mn 1.68
22 Mn 0.1405 0.6405 0.5000  2 N 1.68
23 N 0.0732 0.3569 0.2837  1 Mn 1.68
24 N 0.2105 0.9268 0.2837  1 Mn 1.68

---

Version ii
DFT (GGA-PBE) results for an optimized crystal structure of Li3MnN2.

a b c (Å): 4.7232 4.7232 5.8218
angles (deg): 90.00 90.00 96.08
Last column: nearest neighbours and their distance in Å.
Sites, in units of the cell vectors:
1 N 0.0000 0.0000 0.0000  2 Mn 1.78
2 Li 0.7014 0.2986 0.0000  3 N 2.08-2.10
3 Mn 0.1616 0.1616 0.7500  3 N 1.68-1.78
4 N 0.4282 0.4282 0.7500  1 Mn 1.68
5 N 0.0000 0.0000 0.5000  2 Mn 1.78
6 N 0.5718 0.5718 0.2500  1 Mn 1.68
7 Li 0.2389 0.2389 0.2500  3 N 2.10
8 Li 0.2986 0.7014 0.5000  3 N 2.08-2.10
9 Li 0.2986 0.7014 0.0000  3 N 2.08-2.10
10 Mn 0.8384 0.8384 0.2500  3 N 1.68-1.78
11 Li 0.7014 0.2986 0.5000  3 N 2.08-2.10
12 Li 0.7611 0.7611 0.7500  3 N 2.10

---

Most stable one: version ii, least stable one: version i.

---

Version i
DFT (GGA-PBE) results for an optimized crystal structure of LiMnSN2.

a b c (Å): 3.5682 3.5682 4.9988
angles (deg): 90.00 90.00 90.00
Last column: nearest neighbours and their distance in Å.
Sites, in units of the cell vectors:
1 Li 0.5000 0.5000 0.5000  4 S 2.52
2 N 0.0000 0.5000 0.0000  2 Mn 1.78
3 N 0.5000 0.0000 0.0000  2 Mn 1.78
4 Mn 0.0000 0.0000 0.0000  4 N 1.78
5 S 0.0000 0.0000 0.5000  2 Mn 2.50, 4 Li 2.52

---

Version ii
DFT (GGA-PBE) results for an optimized crystal structure of LiMnSN2.

a b c (Å): 3.6316 3.6316 4.7592
angles (deg): 90.00 90.00 90.00
Last column: nearest neighbours and their distance in Å.
Sites, in units of the cell vectors:
1 Li 0.0000 0.0000 0.0000  4 N 1.82
2 S 0.0000 0.0000 0.5000  2 Li 2.38, 4 Mn 2.57
3 N 0.5000 0.0000 0.0000  2 Li 1.82
4 N 0.0000 0.5000 0.0000  2 Li 1.82
5 Mn 0.5000 0.5000 0.5000  4 S 2.57

---

Most stable one: version i, least stable one: version ii.

---

Version i
DFT (GGA-PBE) results for an optimized crystal structure of LiMnSeN2.

a b c (Å): 3.5850 3.5850 5.2462
angles (deg): 90.00 90.00 90.00
Last column: nearest neighbours and their distance in Å.
Sites, in units of the cell vectors:
1 N 0.5000 0.0000 0.0000  2 Mn 1.79
2 N 0.0000 0.5000 0.0000  2 Mn 1.79
3 Se 0.0000 0.0000 0.5000  4 Li 2.53, 2 Mn 2.62
4 Mn 0.0000 0.0000 0.0000  4 N 1.79
5 Li 0.5000 0.5000 0.5000  4 Se 2.53

---

Version ii
DFT (GGA-PBE) results for an optimized crystal structure of LiMnSeN2.

a b c (Å): 3.7405 3.7405 4.9298
angles (deg): 90.00 90.00 90.00
Last column: nearest neighbours and their distance in Å.
Sites, in units of the cell vectors:
1 N 0.5000 0.0000 0.0000  2 Li 1.87
2 Mn 0.5000 0.5000 0.5000  4 Se 2.64
3 N 0.0000 0.5000 0.0000  2 Li 1.87
4 Se 0.0000 0.0000 0.5000  2 Li 2.46, 4 Mn 2.64
5 Li 0.0000 0.0000 0.0000  4 N 1.87

---

Most stable one: version i, least stable one: version ii.